Below is a geometry-optimized TmZrCoAu structure, with properties calculated at the PBE level.

Calculated values
The space group is F-43m. Its uncorrected energy is -6.22 eV/atom. For the spin magnetization, the calculation gives 0.087 μB per atom. The value obtained for the formation energy is -0.366 eV per atom.

a b c (Å): 4.7858 4.7858 4.7858
angles (deg): 60.00 60.00 60.00
Element x y z (fractional)
Tm 0.0000 0.0000 0.0000
Zr 0.5000 0.5000 0.5000
Co 0.2500 0.2500 0.2500
Au 0.7500 0.7500 0.7500